Material: Tb5Y2In4
Method: DFT, PBE
State: relaxed Values from VASP.

```
&SYSTEM
  ibrav = 0, nat = 11, ntyp = 3
/
ATOMIC_SPECIES
Tb 158.93 Tb.upf
In 114.82 In.upf
Y 88.91 Y.upf
ATOMIC_POSITIONS crystal
Tb 0.000 0.466 0.333
Tb 0.000 0.534 0.667
Tb 0.000 0.163 0.857
Tb 0.000 0.837 0.143
Tb 0.000 0.500 0.000
In 0.500 0.754 0.424
In 0.500 0.199 0.117
In 0.500 0.801 0.883
In 0.500 0.246 0.576
Y 0.000 0.915 0.640
Y 0.000 0.085 0.360
CELL_PARAMETERS angstrom
3.429 0.000 0.000
0.000 8.632 -0.036
0.000 1.172 10.501
```

Values from the calculation:
**Final energy**: -4.534 eV per atom
**Energy relative to the elements**: -0.26 eV per atom
**Density**: 7.6 Mg/m³
**Spin magnetization**: 0.014 μB/f.u.
**Space group**: P2/m